Entry from Alexandria via LeMat-Bulk: HfPIr2Pb after structural relaxation (PBEsol).

abc: 4.4104 4.4104 4.8461
angles: 90.00 90.00 90.00
Sites, in units of the cell vectors:
Pb1 0.5000 0.5000 0.5000
P1 0.0000 0.0000 0.0000
Ir1 0.0000 0.5000 0.0000
Ir2 0.5000 0.0000 0.0000
Hf1 0.0000 0.0000 0.5000

Summary:
uncorrected energy	-7.861	eV/atom
energy of formation from the pure elements	0.1272	eV/atom
V	94.26	Å³ per cell
symmetry	P4/mmm, No. 123

Entry from Alexandria via LeMat-Bulk: GaHg3 after structural relaxation (PBEsol).

abc: 4.8744 6.4839 6.4839
angles: 120.00 90.00 90.00
Sites, in units of the cell vectors:
Ga1 0.7500 0.3333 0.6667
Ga2 0.2500 0.6667 0.3333
Hg1 0.2500 0.6617 0.8308
Hg2 0.2500 0.1692 0.3383
Hg3 0.2500 0.1692 0.8308
Hg4 0.7500 0.3383 0.1692
Hg5 0.7500 0.8308 0.6617
Hg6 0.7500 0.8308 0.1692

Summary:
uncorrected energy	-1.216	eV/atom
energy of formation from the pure elements	0.0439	eV/atom
V	177.47	Å³ per cell
symmetry	P6_3/mmc, No. 194

Entry from Alexandria via LeMat-Bulk: CaZr3W after structural relaxation (PBEsol).

abc: 4.7677 4.7677 4.7677
angles: 90.00 90.00 90.00
Sites, in units of the cell vectors:
Ca1 0.0000 0.0000 0.0000
Zr1 0.0000 0.5000 0.0000
Zr2 0.0000 0.0000 0.5000
Zr3 0.5000 0.0000 0.0000
W1 0.5000 0.5000 0.5000

Summary:
uncorrected energy	-6.543	eV/atom
energy of formation from the pure elements	2.0995	eV/atom
V	108.38	Å³ per cell
symmetry	Pm-3m, No. 221

Entry from Alexandria via LeMat-Bulk: LiZn3 after structural relaxation (PBEsol).

abc: 4.3281 5.3907 5.3907
angles: 120.00 90.00 90.00
Sites, in units of the cell vectors:
Li1 0.2500 0.6667 0.3333
Li2 0.7500 0.3333 0.6667
Zn1 0.2500 0.1674 0.3348
Zn2 0.2500 0.6652 0.8326
Zn3 0.7500 0.8326 0.1674
Zn4 0.7500 0.8326 0.6652
Zn5 0.7500 0.3348 0.1674
Zn6 0.2500 0.1674 0.8326

Summary:
uncorrected energy	-1.841	eV/atom
energy of formation from the pure elements	-0.1630	eV/atom
V	108.92	Å³ per cell
symmetry	P6_3/mmc, No. 194

Entry from Alexandria via LeMat-Bulk: Zr3Mn after structural relaxation (PBEsol).

abc: 5.6881 6.2517 8.6974
angles: 90.00 90.00 90.00
Sites, in units of the cell vectors:
Mn1 0.5705 0.1125 0.7500
Mn2 0.0705 0.3875 0.2500
Mn3 0.9295 0.6125 0.7500
Mn4 0.4295 0.8875 0.2500
Zr1 0.8669 0.0395 0.2500
Zr2 0.3353 0.1782 0.0596
Zr3 0.3353 0.1782 0.4404
Zr4 0.8353 0.3218 0.5596
Zr5 0.8353 0.3218 0.9404
Zr6 0.3669 0.4605 0.7500
Zr7 0.6331 0.5395 0.2500
Zr8 0.1647 0.6782 0.0596
Zr9 0.1647 0.6782 0.4404
Zr10 0.6647 0.8218 0.5596
Zr11 0.6647 0.8218 0.9404
Zr12 0.1331 0.9605 0.7500

Summary:
uncorrected energy	-9.268	eV/atom
energy of formation from the pure elements	-0.0108	eV/atom
V	309.28	Å³ per cell
symmetry	Pnma, No. 62

Entry from Alexandria via LeMat-Bulk: Zr2TiGa2 after structural relaxation (PBEsol).

abc: 3.7457 6.9985 6.9985
angles: 90.00 90.00 90.00
Sites, in units of the cell vectors:
Ga1 0.0000 0.3731 0.8731
Ga2 0.0000 0.8731 0.6269
Ga3 0.0000 0.6269 0.1269
Ga4 0.0000 0.1269 0.3731
Zr1 0.5000 0.1755 0.6755
Zr2 0.5000 0.6755 0.8245
Zr3 0.5000 0.8245 0.3245
Zr4 0.5000 0.3245 0.1755
Ti1 0.0000 0.0000 0.0000
Ti2 0.0000 0.5000 0.5000

Summary:
uncorrected energy	-7.178	eV/atom
energy of formation from the pure elements	-0.5416	eV/atom
V	183.46	Å³ per cell
symmetry	P4/mbm, No. 127

Entry from Alexandria via LeMat-Bulk: InAg3 after structural relaxation (PBEsol).

abc: 3.1188 4.8567 5.4979
angles: 116.21 106.48 90.00
Sites, in units of the cell vectors:
Ag1 0.7526 0.7349 0.5051
Ag2 0.2474 0.2297 0.4949
Ag3 0.5000 0.8485 0.0000
In1 0.0000 0.3536 0.0000

Summary:
uncorrected energy	-3.276	eV/atom
energy of formation from the pure elements	-0.0469	eV/atom
V	70.88	Å³ per cell
symmetry	Imm2, No. 44

Entry from Alexandria via LeMat-Bulk: Sr2MgAg after structural relaxation (PBEsol).

abc: 4.7110 4.6697 6.5909
angles: 90.00 110.94 90.00
Sites, in units of the cell vectors:
Sr1 0.9785 0.0000 0.9569
Sr2 0.2692 0.5000 0.5385
Mg1 0.5654 0.5000 0.1308
Ag1 0.6909 0.0000 0.3818

Summary:
uncorrected energy	-2.317	eV/atom
energy of formation from the pure elements	-0.1393	eV/atom
V	135.42	Å³ per cell
symmetry	Amm2, No. 38

Entry from Alexandria via LeMat-Bulk: KAl2Ir after structural relaxation (PBEsol).

abc: 2.9144 3.8390 7.8078
angles: 90.00 90.00 90.00
Sites, in units of the cell vectors:
K1 0.5000 0.5000 0.7298
Ir1 0.0000 0.0000 0.3868
Al1 0.0000 0.0000 0.0735
Al2 0.5000 0.5000 0.3099

Summary:
uncorrected energy	-4.846	eV/atom
excess energy over the best structure of this formula in the dataset	20.5	meV per atom
energy of formation from the pure elements	-0.0612	eV/atom
V	87.36	Å³ per cell
symmetry	Pmm2, No. 25

Entry from Alexandria via LeMat-Bulk: Ti2MoOF after structural relaxation (PBEsol).

abc: 3.9584 4.6042 4.6042
angles: 90.00 90.00 90.00
Sites, in units of the cell vectors:
Mo1 0.0000 0.0000 0.0000
F1 0.5000 0.0000 0.0000
O1 0.5000 0.5000 0.5000
Ti1 0.0000 0.0000 0.5000
Ti2 0.0000 0.5000 0.0000

Summary:
ΔE_f (raw)	0.305	eV/atom
uncorrected energy	-6.813	eV/atom
V	83.91	Å³ per cell
symmetry	P4/mmm, No. 123

Entry from Alexandria via LeMat-Bulk: RbNiIO2 after structural relaxation (PBEsol).

abc: 4.1521 4.1521 6.8630
angles: 90.00 90.00 90.00
Sites, in units of the cell vectors:
I1 0.0000 0.0000 0.5000
Ni1 0.5000 0.5000 0.5000
O1 0.0000 0.5000 0.0000
O2 0.5000 0.0000 0.0000
Rb1 0.0000 0.0000 0.0000

Summary:
ΔE_f (raw)	1.082	eV/atom
uncorrected energy	-2.808	eV/atom
V	118.32	Å³ per cell
symmetry	P4/mmm, No. 123

Entry from Alexandria via LeMat-Bulk: TiCoSi2Os after structural relaxation (PBEsol).

abc: 4.1499 4.1499 4.2484
angles: 90.00 90.00 90.00
Sites, in units of the cell vectors:
Co1 0.0000 0.0000 0.0000
Si1 0.0000 0.5000 0.0000
Si2 0.5000 0.0000 0.0000
Os1 0.5000 0.5000 0.5000
Ti1 0.0000 0.0000 0.5000

Summary:
ΔE_f (raw)	0.420	eV/atom
uncorrected energy	-7.534	eV/atom
V	73.16	Å³ per cell
symmetry	P4/mmm, No. 123

Entry from Alexandria via LeMat-Bulk: TiReB3 after structural relaxation (PBEsol).

abc: 3.9969 3.9969 3.9969
angles: 90.00 90.00 90.00
Sites, in units of the cell vectors:
Re1 0.0000 0.0000 0.0000
B1 0.0000 0.5000 0.0000
B2 0.0000 0.0000 0.5000
B3 0.5000 0.0000 0.0000
Ti1 0.5000 0.5000 0.5000

Summary:
uncorrected energy	-7.801	eV/atom
energy of formation from the pure elements	0.7400	eV/atom
V	63.85	Å³ per cell
symmetry	Pm-3m, No. 221

Entry from Alexandria via LeMat-Bulk: LiCuPO4 after structural relaxation (PBEsol).

abc: 4.8163 8.3439 8.7591
angles: 109.76 90.00 90.00
Sites, in units of the cell vectors:
Li1 0.1526 0.1149 0.9969
Li2 0.6737 0.2546 0.5007
Li3 0.8474 0.6149 0.9969
Li4 0.3263 0.7546 0.5007
Cu1 0.3570 0.9750 0.2297
Cu2 0.1856 0.3441 0.7359
Cu3 0.6430 0.4750 0.2297
Cu4 0.8144 0.8441 0.7359
P1 0.6760 0.2353 0.8687
P2 0.1790 0.3573 0.3653
P3 0.3240 0.7353 0.8687
P4 0.8210 0.8573 0.3653
O1 0.7928 0.0717 0.8899
O2 0.6869 0.0240 0.3579
O3 0.3551 0.2214 0.8627
O4 0.7867 0.2633 0.7139
O5 0.2897 0.2098 0.2165
O6 0.2766 0.3210 0.5184
O7 0.2072 0.5717 0.8899
O8 0.8602 0.3739 0.3679
O9 0.7829 0.3876 0.0145
O10 0.3131 0.5240 0.3579
O11 0.6449 0.7214 0.8627
O12 0.2133 0.7633 0.7139
O13 0.7103 0.7098 0.2165
O14 0.7234 0.8210 0.5184
O15 0.1398 0.8739 0.3679
O16 0.2171 0.8876 0.0145

Summary:
ΔE_f (raw)	-1.781	eV/atom
uncorrected energy	-6.508	eV/atom
excess energy over the best structure of this formula in the dataset	26.5	meV per atom
V	331.27	Å³ per cell
symmetry	Pc, No. 7

Entry from Alexandria via LeMat-Bulk: FeNiOs2 after structural relaxation (PBEsol).

abc: 4.1637 4.1637 4.1637
angles: 60.00 60.00 60.00
Sites, in units of the cell vectors:
Fe1 0.5000 0.5000 0.5000
Ni1 0.2500 0.2500 0.2500
Os1 0.0000 0.0000 0.0000
Os2 0.7500 0.7500 0.7500

Summary:
uncorrected energy	-9.495	eV/atom
excess energy over the best structure of this formula in the dataset	258.5	meV per atom
energy of formation from the pure elements	0.3934	eV/atom
V	51.04	Å³ per cell
symmetry	F-43m, No. 216

Entry from Alexandria via LeMat-Bulk: ZrInCl2 after structural relaxation (PBEsol).

abc: 3.3923 3.3642 9.4516
angles: 90.00 90.00 120.28
Sites, in units of the cell vectors:
Cl1 0.0000 0.0000 0.9544
Cl2 0.5000 0.0000 0.2928
Zr1 0.5000 0.0000 0.7549
In1 0.0000 0.0000 0.4979

Summary:
ΔE_f (raw)	-0.782	eV/atom
uncorrected energy	-4.804	eV/atom
excess energy over the best structure of this formula in the dataset	52.2	meV per atom
V	93.15	Å³ per cell
symmetry	Cmm2, No. 35

Entry from Alexandria via LeMat-Bulk: ZrAl after structural relaxation (PBEsol).

abc: 3.9741 4.0982 9.7340
angles: 77.85 90.00 90.00
Sites, in units of the cell vectors:
Al1 0.7500 0.0630 0.8739
Al2 0.7500 0.8369 0.3263
Al3 0.2500 0.9370 0.1261
Al4 0.2500 0.1631 0.6737
Zr1 0.7500 0.6888 0.6225
Zr2 0.7500 0.4422 0.1157
Zr3 0.2500 0.3112 0.3775
Zr4 0.2500 0.5578 0.8843

Summary:
uncorrected energy	-6.969	eV/atom
energy of formation from the pure elements	-0.3781	eV/atom
V	154.98	Å³ per cell
symmetry	Cmcm, No. 63

Entry from Alexandria via LeMat-Bulk: Li3BN2 after structural relaxation (PBEsol).

abc: 4.6300 4.6300 5.1328
angles: 90.00 90.00 90.00
Sites, in units of the cell vectors:
N1 0.7945 0.7945 0.0000
N2 0.7055 0.2945 0.5000
N3 0.2945 0.7055 0.5000
N4 0.2055 0.2055 0.0000
B1 0.5000 0.5000 0.5000
B2 0.0000 0.0000 0.0000
Li1 0.5000 0.0000 0.2500
Li2 0.5000 0.0000 0.7500
Li3 0.5000 0.5000 0.0000
Li4 0.0000 0.0000 0.5000
Li5 0.0000 0.5000 0.2500
Li6 0.0000 0.5000 0.7500

Summary:
ΔE_f (raw)	-0.897	eV/atom
uncorrected energy	-5.892	eV/atom
V	110.03	Å³ per cell
symmetry	P4_2/mnm, No. 136

Entry from Alexandria via LeMat-Bulk: TbTiFe11C after structural relaxation (PBEsol).

abc: 4.7420 6.3699 6.3699
angles: 82.42 68.15 68.15
Sites, in units of the cell vectors:
Tb1 0.0078 0.9922 0.9922
Ti1 0.6317 0.3683 0.3683
Fe1 0.7257 0.7743 0.7743
Fe2 0.2764 0.2236 0.2236
Fe3 0.4979 0.2228 0.7814
Fe4 0.4979 0.7814 0.2228
Fe5 0.5013 0.4999 0.9973
Fe6 0.0016 0.4999 0.9973
Fe7 0.5013 0.9973 0.4999
Fe8 0.0016 0.9973 0.4999
Fe9 0.3550 0.6450 0.6450
Fe10 0.0003 0.6421 0.3574
Fe11 0.0003 0.3574 0.6421
C1 0.5014 0.9986 0.9986

Summary:
uncorrected energy	-8.770	eV/atom
energy of formation from the pure elements	-0.0861	eV/atom
V	165.75	Å³ per cell
symmetry	Imm2, No. 44

Entry from Alexandria via LeMat-Bulk: Pr6S3O2F8 after structural relaxation (PBEsol).

abc: 3.8621 13.5056 13.6040
angles: 119.75 90.00 90.00
Sites, in units of the cell vectors:
Pr1 0.5000 0.6111 0.1386
Pr2 0.5000 0.5260 0.3952
Pr3 0.5000 0.8619 0.4760
Pr4 0.0000 0.3965 0.8600
Pr5 0.0000 0.4762 0.6031
Pr6 0.0000 0.1432 0.5350
Pr7 0.5000 0.9442 0.2282
Pr8 0.5000 0.2817 0.0556
Pr9 0.5000 0.7641 0.7122
Pr10 0.0000 0.0531 0.7614
Pr11 0.0000 0.7085 0.9464
Pr12 0.0000 0.2360 0.2923
S1 0.5000 0.2733 0.4716
S2 0.5000 0.1990 0.7217
S3 0.5000 0.5272 0.8094
S4 0.0000 0.7234 0.5296
S5 0.0000 0.8121 0.2819
S6 0.0000 0.4661 0.1847
O1 0.5000 0.5677 0.5874
O2 0.0000 0.9839 0.5645
O3 0.0000 0.5828 0.0213
O4 0.0000 0.4313 0.4111
F1 0.5000 0.1059 0.2041
F2 0.5000 0.0981 0.8903
F3 0.5000 0.7940 0.9044
F4 0.0000 0.8940 0.7954
F5 0.0000 0.9040 0.1059
F6 0.0000 0.1986 0.0957
F7 0.5000 0.7528 0.0734
F8 0.5000 0.3166 0.2465
F9 0.5000 0.9301 0.6805
F10 0.0000 0.2528 0.9286
F11 0.0000 0.6802 0.7542
F12 0.0000 0.0677 0.3235
F13 0.5000 0.6655 0.3331
F14 0.0000 0.3383 0.6665
F15 0.5000 0.0221 0.4336
F16 0.5000 0.4097 0.9769

Summary:
ΔE_f (raw)	-3.522	eV/atom
uncorrected energy	-7.216	eV/atom
V	616.09	Å³ per cell
symmetry	Pm, No. 6